No. 1
Below is a relaxed BaIr2Br crystal, with properties calculated at the PBE level.

Calculated values
Total moment (μB per atom): 0.00
Total energy (eV/atom): -4.566
Formation energy (no corrections) (eV per atom): 0.76

Geometry as extended XYZ:
```
4
Lattice="-4.511 1.577 -1.046 -0.555 -3.430 3.444 2.845 3.657 1.571" Properties=species:S:1:pos:R:3 pbc="T T T"
Ba -2.533 -0.927 1.199
Ir 0.000 0.000 0.000
Br -2.100 2.153 0.862
Ir -0.121 -0.350 3.106
```

=====

No. 2
Below is a relaxed LiCa3U2P6 crystal, with properties calculated at the PBE level.

Calculated values
Energy relative to the elements (eV/atom): -0.94
Total moment (μB per atom): 0.09
Total energy (eV/atom): -6.186

Geometry as extended XYZ:
```
12
Lattice="6.990 -0.001 0.004 -3.494 6.054 0.004 -1.163 -2.013 6.530" Properties=species:S:1:pos:R:3 pbc="T T T"
U 3.503 2.013 0.004
P 2.270 3.930 1.462
P 3.564 1.903 5.083
Ca 4.725 -0.035 3.269
Ca -2.391 4.075 3.269
Li 0.000 0.000 0.000
P -0.133 4.038 5.083
P 0.064 0.110 5.076
U -0.007 4.040 0.004
Ca 1.167 2.020 3.269
P 2.466 0.002 1.456
P -1.231 2.137 1.456
```

=====

No. 3
Below is a relaxed Ho6Se3S2 crystal, with properties calculated at the PBE level.

Calculated values
Total moment (μB per atom): 0.00
Total energy (eV/atom): -5.848
Formation energy (no corrections) (eV per atom): -1.65

Geometry as extended XYZ:
```
11
Lattice="3.902 0.000 0.387 1.932 3.390 0.387 0.015 0.009 19.724" Properties=species:S:1:pos:R:3 pbc="T T T"
Ho 1.121 0.651 8.568
S 3.221 1.872 7.261
Ho 5.312 3.087 6.036
Se 1.602 0.931 3.712
Ho 2.124 1.234 18.327
Ho 4.728 2.748 11.929
Se 4.247 2.468 16.785
Ho 0.537 0.312 14.462
Se 0.000 0.000 0.000
S 2.628 1.527 13.237
Ho 3.725 2.165 2.170
```

=====

No. 4
Below is a relaxed RuRhN2F crystal, with properties calculated at the PBE level.

Calculated values
Total moment (μB per atom): 0.18
Total energy (eV/atom): -6.224
Formation energy (no corrections) (eV per atom): 0.81

Geometry as extended XYZ:
```
5
Lattice="-0.720 2.648 2.697 -3.602 -1.312 0.327 1.208 -2.600 2.876" Properties=species:S:1:pos:R:3 pbc="T T T"
Rh -1.557 -0.632 2.950
Ru 0.000 0.000 0.000
F 0.604 -1.300 1.438
N -1.801 -0.656 0.163
N -0.360 1.324 1.348
```

=====

No. 5
Below is a relaxed ZrCdP2 crystal, with properties calculated at the PBE level.

Calculated values
Energy relative to the elements (eV/atom): -0.04
Total moment (μB per atom): 0.00
Total energy (eV/atom): -5.113

Geometry as extended XYZ:
```
4
Lattice="-6.043 5.850 -0.151 -7.345 3.551 -2.050 -7.629 3.341 1.185" Properties=species:S:1:pos:R:3 pbc="T T T"
P -5.519 3.346 -0.267
Cd -15.597 9.456 -0.754
P -20.689 12.543 -1.000
Zr -10.738 6.510 -0.519
```

=====

No. 6
Below is a relaxed PrDyHoIn crystal, with properties calculated at the PBE level.

Calculated values
Energy relative to the elements (eV/atom): -0.09
Total moment (μB per atom): 0.37
Total energy (eV/atom): -4.262

Geometry as extended XYZ:
```
4
Lattice="5.500 0.000 0.000 0.000 5.500 0.000 -2.750 -2.750 3.889" Properties=species:S:1:pos:R:3 pbc="T T T"
Pr 2.750 0.000 1.945
Ho 0.000 0.000 0.000
Dy 2.750 2.750 0.000
In 0.000 2.750 1.945
```